Run i
Here is an optimized crystal structure of Eu2TmIn from Alexandria. Energies are from PBE-GGA.

Computed properties:
Crystal system = tetragonal
Fermi-level density of states = 0.975 states/eV per atom
Space-group type = P4/mmm

a b c (Å): 5.166 4.903 4.903
angles (deg): 90.00 90.00 90.00
Atoms (fractional coordinates):
Eu: 0.000 0.500 0.000
Eu: 0.000 0.000 0.500
Tm: 0.500 0.500 0.500
In: 0.500 0.000 0.000


Run ii
Here is an optimized crystal structure of Eu2TmIn from Alexandria. Energies are from PBE-GGA.

Computed properties:
Crystal system = cubic
Fermi-level density of states = 0.585 states/eV per atom
Space-group type = Fm-3m

a b c (Å): 5.638 5.638 5.638
angles (deg): 60.00 60.00 60.00
Atoms (fractional coordinates):
In: 0.500 0.500 0.500
Eu: 0.750 0.750 0.750
Eu: 0.250 0.250 0.250
Tm: 0.000 0.000 0.000


Going by the energies, run i is most stable and the next is 0.073 eV/atom up.